The following is a DFT calculation (GGA-PBE) of an optimized crystal structure of Ga2GeTe.

Computed properties:
- energy above the lowest structure with this stoichiometry (meV/atom) = 347.1
- uncorrected formation energy (eV/atom) = 0.1501
- symmetry = R-3m, No. 166
- ρ (g/cm3) = 5.24
- M_tot (μB/cell) = 0.00

Unit cell a=3.984 b=3.984 c=8.165 alpha=75.88 beta=75.88 gamma=60.00
Sites, in units of the cell vectors:
Ga1 0.114 0.114 0.658
Ga2 0.886 0.886 0.342
Te1 0.000 0.000 0.000
Ge1 0.500 0.500 0.500